Record 1
# PBE-GGA Y2InGa, relaxed
# Relative energy among the computed polymorphs ... 0.354 eV per atom
# Energy ... -0.358 Ry/atom
# E_form ... -191.4 meV per atom
# DOS(E_F) ... 9.517 states/eV per cell
# Theoretical density ... 5.44 g/cm³
data_Y2InGa
_symmetry_space_group_name_H-M 'P 1'
_symmetry_Int_Tables_number 1
_cell_length_a 8.090
_cell_length_b 8.090
_cell_length_c 6.646
_cell_angle_alpha 52.51
_cell_angle_beta 52.51
_cell_angle_gamma 90.00
loop_
_symmetry_equiv_pos_as_xyz
'x,y,z'
loop_
_atom_site_label
_atom_site_type_symbol
_atom_site_fract_x
_atom_site_fract_y
_atom_site_fract_z
Y1 Y 0.147 0.625 0.250
Y2 Y 0.875 0.853 0.750
Y3 Y 0.375 0.397 0.750
Y4 Y 0.603 0.125 0.250
Ga1 Ga 0.250 0.750 0.500
Ga2 Ga 0.500 0.500 0.000
In1 In 0.000 0.000 0.000
In2 In 0.750 0.250 0.500

---

Record 2
# PBE-GGA Y4InGa2, relaxed
# Energy ... -0.387 Ry/atom
# E_form ... -316.4 meV per atom
# DOS(E_F) ... 5.393 states/eV per cell
# Theoretical density ... 5.13 g/cm³
data_Y4InGa2
_symmetry_space_group_name_H-M 'P 1'
_symmetry_Int_Tables_number 1
_cell_length_a 5.035
_cell_length_b 5.035
_cell_length_c 9.443
_cell_angle_alpha 74.54
_cell_angle_beta 74.54
_cell_angle_gamma 60.00
loop_
_symmetry_equiv_pos_as_xyz
'x,y,z'
loop_
_atom_site_label
_atom_site_type_symbol
_atom_site_fract_x
_atom_site_fract_y
_atom_site_fract_z
Y1 Y 0.206 0.206 0.382
Y2 Y 0.382 0.382 0.855
Y3 Y 0.618 0.618 0.145
Y4 Y 0.794 0.794 0.618
Ga1 Ga 0.901 0.901 0.297
Ga2 Ga 0.099 0.099 0.703
In1 In 0.000 0.000 0.000